[1]
DFT (GGA-PBEsol) results for a relaxed ScFeIr2 crystal.

For the formation energy, the calculation gives -223.6 meV per atom.

```
data_ScFeIr2
_chemical_formula_sum 'Sc1 Fe1 Ir2'
_symmetry_space_group_name_H-M 'P m m 2'
_symmetry_Int_Tables_number 25
_cell_length_a 2.769
_cell_length_b 3.855
_cell_length_c 5.453
_cell_angle_alpha 90.00
_cell_angle_beta 90.00
_cell_angle_gamma 90.00
loop_
_symmetry_equiv_pos_as_xyz
'x,y,z'
'-x,-y,z'
'-x,y,z'
'x,-y,z'
loop_
_atom_site_label
_atom_site_fract_x
_atom_site_fract_y
_atom_site_fract_z
Sc1 0.000 0.000 0.000
Fe1 0.500 0.500 0.291
Ir1 0.000 0.000 0.487
Ir2 0.500 0.500 0.750
```

***

[2]
DFT (GGA-PBEsol) results for a relaxed Sc2FeIr crystal.

For the formation energy, the calculation gives -527.5 meV per atom.

```
data_Sc2FeIr
_chemical_formula_sum 'Sc2 Fe1 Ir1'
_symmetry_space_group_name_H-M 'P 4/m m m'
_symmetry_Int_Tables_number 123
_symmetry_space_group_name_Hall '-P 4 2'
_cell_length_a 3.127
_cell_length_b 3.127
_cell_length_c 6.301
_cell_angle_alpha 90.00
_cell_angle_beta 90.00
_cell_angle_gamma 90.00
loop_
_atom_site_label
_atom_site_fract_x
_atom_site_fract_y
_atom_site_fract_z
Sc1 0.000 0.000 0.241
Fe1 0.500 0.500 0.000
Ir1 0.500 0.500 0.500
```

***

[3]
DFT (GGA-PBEsol) results for a relaxed ScFeIr2 crystal.

For the formation energy, the calculation gives -132.7 meV per atom.

```
data_ScFeIr2
_chemical_formula_sum 'Sc4 Fe4 Ir8'
_symmetry_space_group_name_H-M 'F -4 3 m'
_symmetry_Int_Tables_number 216
_symmetry_space_group_name_Hall 'F -4 2 3'
_cell_length_a 6.168
_cell_length_b 6.168
_cell_length_c 6.168
_cell_angle_alpha 90.00
_cell_angle_beta 90.00
_cell_angle_gamma 90.00
loop_
_atom_site_label
_atom_site_fract_x
_atom_site_fract_y
_atom_site_fract_z
Sc1 0.000 0.000 0.000
Fe1 0.250 0.250 0.250
Ir1 0.000 0.000 0.500
Ir2 0.250 0.250 0.750
```

***

| no. | E (eV per atom) | total magnetic moment (μB per atom) |
| --- | --- | --- |
| 1 | -9.027 | 0.592 |
| 2 | -8.527 | 0.123 |
| 3 | -8.937 | 0.876 |